# LiCuAu meta-GGA SCAN PBEsol geometry
data_LiCuAu
_chemical_formula_sum 'Li2 Cu2 Au2'
_symmetry_space_group_name_H-M 'I m m 2'
_symmetry_Int_Tables_number 44
_symmetry_space_group_name_Hall 'I 2 -2'
_cell_length_a 2.7080
_cell_length_b 3.8161
_cell_length_c 7.9428
_cell_angle_alpha 90.00
_cell_angle_beta 90.00
_cell_angle_gamma 90.00
loop_
_atom_site_label
_atom_site_type_symbol
_atom_site_fract_x
_atom_site_fract_y
_atom_site_fract_z
Li1 Li 0.0000 0.0000 0.0000
Cu1 Cu 0.0000 0.0000 0.3322
Au1 Au 0.0000 0.0000 0.6683
# Energy above the lowest structure with this stoichiometry   0 meV/atom
# N(E_F)   1.551 states/eV per cell
# Formation energy from the elements   -0.31 eV per atom

# NaCu3Hg meta-GGA SCAN PBEsol geometry
data_NaCu3Hg
_chemical_formula_sum 'Na1 Cu3 Hg1'
_symmetry_space_group_name_H-M 'P m -3 m'
_symmetry_Int_Tables_number 221
_symmetry_space_group_name_Hall '-P 4 2 3'
_cell_length_a 4.4802
_cell_length_b 4.4802
_cell_length_c 4.4802
_cell_angle_alpha 90.00
_cell_angle_beta 90.00
_cell_angle_gamma 90.00
loop_
_atom_site_label
_atom_site_type_symbol
_atom_site_fract_x
_atom_site_fract_y
_atom_site_fract_z
Na1 Na 0.0000 0.0000 0.0000
Cu1 Cu 0.0000 0.0000 0.5000
Hg1 Hg 0.5000 0.5000 0.5000
# N(E_F)   1.599 states/eV per cell
# Formation energy from the elements   1.25 eV per atom

# LaTa2Os2 meta-GGA SCAN PBEsol geometry
data_LaTa2Os2
_chemical_formula_sum 'La2 Ta4 Os4'
_symmetry_space_group_name_H-M 'I 4/m m m'
_symmetry_Int_Tables_number 139
_symmetry_space_group_name_Hall '-I 4 2'
_cell_length_a 4.3731
_cell_length_b 4.3731
_cell_length_c 10.7716
_cell_angle_alpha 90.00
_cell_angle_beta 90.00
_cell_angle_gamma 90.00
loop_
_atom_site_label
_atom_site_type_symbol
_atom_site_fract_x
_atom_site_fract_y
_atom_site_fract_z
La1 La 0.0000 0.0000 0.0000
Ta1 Ta 0.0000 0.5000 0.2500
Os1 Os 0.0000 0.0000 0.3793
# Energy above the lowest structure with this stoichiometry   0 meV/atom
# N(E_F)   6.582 states/eV per cell
# Formation energy from the elements   -0.43 eV per atom

# AlSiOs meta-GGA SCAN PBEsol geometry
data_AlSiOs
_chemical_formula_sum 'Al1 Si1 Os1'
_symmetry_space_group_name_H-M 'P -6 m 2'
_symmetry_Int_Tables_number 187
_symmetry_space_group_name_Hall 'P -6 2'
_cell_length_a 4.0684
_cell_length_b 4.0684
_cell_length_c 2.9886
_cell_angle_alpha 90.00
_cell_angle_beta 90.00
_cell_angle_gamma 120.00
loop_
_atom_site_label
_atom_site_type_symbol
_atom_site_fract_x
_atom_site_fract_y
_atom_site_fract_z
Al1 Al 0.0000 0.0000 0.0000
Si1 Si 0.6667 0.3333 0.5000
Os1 Os 0.3333 0.6667 0.5000
# Formation energy (no corrections)   -0.230 eV per atom
# N(E_F)   1.131 states/eV per cell